1.
# Pu4CNO2 | Alexandria | PBE-GGA | relaxed
# Energy relative to the elements, uncorrected ... -12.36 eV per formula unit
# Space-group type ... P2/m
# D(E_F) ... 3.2370 states/eV/atom
# V ... 15.1 Å³ per atom
data_Pu4CNO2
_chemical_formula_sum 'Pu4 C1 N1 O2'
_symmetry_space_group_name_H-M 'P 1'
_symmetry_Int_Tables_number 1
_cell_length_a 6.056
_cell_length_b 3.495
_cell_length_c 6.095
_cell_angle_alpha 90.00
_cell_angle_beta 110.18
_cell_angle_gamma 90.00
loop_
_symmetry_equiv_pos_as_xyz
'x,y,z'
loop_
_atom_site_label
_atom_site_fract_x
_atom_site_fract_y
_atom_site_fract_z
Pu1 0.244 0.000 0.248
Pu2 0.251 0.500 0.752
Pu3 0.749 0.500 0.248
Pu4 0.756 0.000 0.752
C1 0.000 0.000 0.500
N1 0.000 0.500 0.000
O1 0.500 0.000 0.000
O2 0.500 0.500 0.500

=====

2.
# Nb2Re2Rh | Alexandria | PBE-GGA | relaxed
# ΔE_f ... 505 meV/atom
# Space-group type ... I4/mmm
# D(E_F) ... 1.0354 states/eV/atom
# V ... 17.9 Å³ per atom
data_Nb2Re2Rh
_chemical_formula_sum 'Nb2 Re2 Rh1'
_symmetry_space_group_name_H-M 'P 1'
_symmetry_Int_Tables_number 1
_cell_length_a 7.611
_cell_length_b 7.611
_cell_length_c 7.611
_cell_angle_alpha 153.16
_cell_angle_beta 153.16
_cell_angle_gamma 38.32
loop_
_symmetry_equiv_pos_as_xyz
'x,y,z'
loop_
_atom_site_label
_atom_site_fract_x
_atom_site_fract_y
_atom_site_fract_z
Nb1 0.095 0.095 0.000
Nb2 0.905 0.905 0.000
Re1 0.250 0.750 0.500
Re2 0.750 0.250 0.500
Rh1 0.500 0.500 0.000

=====

3.
# CaTa2P | Alexandria | PBE-GGA | relaxed
# ΔE_f ... -52 meV/atom
# Space-group type ... Cmm2
# D(E_F) ... 0.7455 states/eV/atom
# V ... 19.7 Å³ per atom
data_CaTa2P
_chemical_formula_sum 'Ca1 Ta2 P1'
_symmetry_space_group_name_H-M 'P 1'
_symmetry_Int_Tables_number 1
_cell_length_a 3.077
_cell_length_b 3.077
_cell_length_c 8.574
_cell_angle_alpha 90.00
_cell_angle_beta 90.00
_cell_angle_gamma 104.38
loop_
_symmetry_equiv_pos_as_xyz
'x,y,z'
loop_
_atom_site_label
_atom_site_fract_x
_atom_site_fract_y
_atom_site_fract_z
Ca1 0.000 0.000 0.000
Ta1 0.000 0.000 0.444
Ta2 0.500 0.500 0.686
P1 0.500 0.500 0.252

=====

4.
# CaMn2W | Alexandria | PBE-GGA | relaxed
# ΔE_f ... 654 meV/atom
# Space-group type ... Imm2
# D(E_F) ... 1.0077 states/eV/atom
# V ... 16.6 Å³ per atom
data_CaMn2W
_chemical_formula_sum 'Ca1 Mn2 W1'
_symmetry_space_group_name_H-M 'P 1'
_symmetry_Int_Tables_number 1
_cell_length_a 5.653
_cell_length_b 5.653
_cell_length_c 5.653
_cell_angle_alpha 151.41
_cell_angle_beta 129.51
_cell_angle_gamma 59.05
loop_
_symmetry_equiv_pos_as_xyz
'x,y,z'
loop_
_atom_site_label
_atom_site_fract_x
_atom_site_fract_y
_atom_site_fract_z
Ca1 0.000 0.000 0.000
Mn1 0.283 0.783 0.500
Mn2 0.485 0.485 0.000
W1 0.708 0.208 0.500

=====

5.
# La2TlCo | Alexandria | PBE-GGA | relaxed
# ΔE_f ... 82 meV/atom
# Space-group type ... R3m
# D(E_F) ... 1.2431 states/eV/atom
# V ... 29.0 Å³ per atom
data_La2TlCo
_chemical_formula_sum 'La2 Tl1 Co1'
_symmetry_space_group_name_H-M 'P 1'
_symmetry_Int_Tables_number 1
_cell_length_a 8.912
_cell_length_b 8.912
_cell_length_c 8.912
_cell_angle_alpha 25.57
_cell_angle_beta 25.57
_cell_angle_gamma 25.57
loop_
_symmetry_equiv_pos_as_xyz
'x,y,z'
loop_
_atom_site_label
_atom_site_fract_x
_atom_site_fract_y
_atom_site_fract_z
La1 0.000 0.000 0.000
La2 0.205 0.205 0.205
Tl1 0.763 0.763 0.763
Co1 0.480 0.480 0.480

=====

6.
# CeAg2SnCl8 | Alexandria | PBE-GGA | relaxed
# Energy relative to the elements, uncorrected ... -14.41 eV per formula unit
# Space-group type ... P-1
# D(E_F) ... 0.3728 states/eV/atom
# V ... 29.9 Å³ per atom
data_CeAg2SnCl8
_chemical_formula_sum 'Ce1 Ag2 Sn1 Cl8'
_symmetry_space_group_name_H-M 'P 1'
_symmetry_Int_Tables_number 1
_cell_length_a 6.506
_cell_length_b 6.568
_cell_length_c 8.435
_cell_angle_alpha 92.70
_cell_angle_beta 92.83
_cell_angle_gamma 93.72
loop_
_symmetry_equiv_pos_as_xyz
'x,y,z'
loop_
_atom_site_label
_atom_site_fract_x
_atom_site_fract_y
_atom_site_fract_z
Ce1 0.000 0.000 0.000
Ag1 0.475 0.477 0.265
Ag2 0.525 0.523 0.735
Sn1 0.000 0.000 0.500
Cl1 0.191 0.815 0.764
Cl2 0.197 0.821 0.237
Cl3 0.293 0.304 0.012
Cl4 0.301 0.313 0.519
Cl5 0.699 0.687 0.481
Cl6 0.707 0.696 0.988
Cl7 0.803 0.179 0.763
Cl8 0.809 0.185 0.236

=====

7.
# LaTaCl3 | Alexandria | PBE-GGA | relaxed
# Energy relative to the elements, uncorrected ... -2.25 eV per formula unit
# Space-group type ... Pm-3m
# D(E_F) ... 1.3177 states/eV/atom
# V ... 22.9 Å³ per atom
data_LaTaCl3
_chemical_formula_sum 'La1 Ta1 Cl3'
_symmetry_space_group_name_H-M 'P 1'
_symmetry_Int_Tables_number 1
_cell_length_a 4.853
_cell_length_b 4.853
_cell_length_c 4.853
_cell_angle_alpha 90.00
_cell_angle_beta 90.00
_cell_angle_gamma 90.00
loop_
_symmetry_equiv_pos_as_xyz
'x,y,z'
loop_
_atom_site_label
_atom_site_fract_x
_atom_site_fract_y
_atom_site_fract_z
La1 0.000 0.000 0.000
Ta1 0.500 0.500 0.500
Cl1 0.000 0.500 0.500
Cl2 0.500 0.000 0.500
Cl3 0.500 0.500 0.000

=====

8.
# MoOsBr2 | Alexandria | PBE-GGA | relaxed
# Energy relative to the elements, uncorrected ... 2.06 eV per formula unit
# Space-group type ... Amm2
# D(E_F) ... 0.6959 states/eV/atom
# V ... 22.5 Å³ per atom
data_MoOsBr2
_chemical_formula_sum 'Mo1 Os1 Br2'
_symmetry_space_group_name_H-M 'P 1'
_symmetry_Int_Tables_number 1
_cell_length_a 3.548
_cell_length_b 5.564
_cell_length_c 5.564
_cell_angle_alpha 54.93
_cell_angle_beta 90.00
_cell_angle_gamma 90.00
loop_
_symmetry_equiv_pos_as_xyz
'x,y,z'
loop_
_atom_site_label
_atom_site_fract_x
_atom_site_fract_y
_atom_site_fract_z
Mo1 0.000 0.000 0.000
Os1 0.500 0.845 0.845
Br1 0.000 0.583 0.583
Br2 0.500 0.270 0.270

=====

The highest D(E_F) belongs to which entry?
Pu4CNO2

=====

What is the V in the fifth record?
29.0 Å³ per atom

=====

What is the formula in the seventh record?
LaTaCl3